A geometry-optimized LaZnF2 structure. Source: Alexandria via LeMat-Bulk, functional GGA-PBE.

extended XYZ file:
```
4
Lattice="0.000 3.226 3.226 3.226 0.000 3.226 3.226 3.226 0.000" Properties=species:S:1:pos:R:3 pbc="T T T"
La 0.000 0.000 0.000
Zn 3.226 3.226 3.226
F 1.613 1.613 1.613
F 4.840 4.840 4.840
```

Results
SG: Fm-3m (225)
Energy relative to the elements, uncorrected: -8.3 eV per formula unit


A geometry-optimized CsNaScI6 structure. Source: Alexandria via LeMat-Bulk, functional GGA-PBE.

extended XYZ file:
```
9
Lattice="3.922 -6.814 0.000 3.922 6.814 0.000 -0.005 0.000 8.843" Properties=species:S:1:pos:R:3 pbc="T T T"
Cs 0.000 0.000 0.000
Na 3.920 -2.265 4.422
Sc 3.920 2.270 4.422
I 1.575 2.315 2.730
I 2.716 4.278 6.120
I 5.124 4.278 2.723
I 2.792 0.220 6.121
I 5.048 0.220 2.722
I 6.265 2.315 6.113
```

Results
SG: C2 (5)
Energy relative to the elements, uncorrected: -9.8 eV per formula unit


A geometry-optimized CsHfRu2 structure. Source: Alexandria via LeMat-Bulk, functional GGA-PBE.

extended XYZ file:
```
4
Lattice="0.000 3.418 3.418 3.418 0.000 3.418 3.418 3.418 0.000" Properties=species:S:1:pos:R:3 pbc="T T T"
Cs 0.000 0.000 0.000
Hf 3.418 3.418 3.418
Ru 1.709 1.709 1.709
Ru 5.126 5.126 5.126
```

Results
SG: Fm-3m (225)
E_form: 1.12 eV/atom


A geometry-optimized Ac2Ag3Sb4Pd structure. Source: Alexandria via LeMat-Bulk, functional GGA-PBE.

extended XYZ file:
```
10
Lattice="4.788 0.000 0.000 0.000 4.788 0.000 0.000 0.000 11.369" Properties=species:S:1:pos:R:3 pbc="T T T"
Ac 0.000 2.394 2.670
Ac 2.394 0.000 8.699
Ag 0.000 0.000 0.000
Ag 0.000 2.394 7.243
Ag 2.394 0.000 4.126
Sb 0.000 0.000 5.685
Sb 0.000 2.394 9.920
Sb 2.394 0.000 1.449
Sb 2.394 2.394 5.685
Pd 2.394 2.394 0.000
```

Results
SG: P-4m2 (115)
Energy relative to the elements, uncorrected: -5.6 eV per formula unit


A geometry-optimized Cd2As2Pd3 structure. Source: Alexandria via LeMat-Bulk, functional GGA-PBE.

extended XYZ file:
```
7
Lattice="4.443 0.000 0.000 -2.209 3.922 0.000 -0.009 -2.561 7.403" Properties=species:S:1:pos:R:3 pbc="T T T"
Cd -0.001 0.012 2.958
Cd 2.226 1.350 4.444
As 0.005 2.656 1.076
As 2.221 -1.295 6.326
Pd 0.000 0.000 0.000
Pd 0.005 0.037 5.830
Pd 2.221 1.324 1.573
```

Results
SG: P-1 (2)
E_form: -0.26 eV/atom


Density, respectively: 5.99 3.38 10.68 8.74 8.93 g/cm³.